No. 1
Computed, not measured: crystalline AcTbCeGd at its relaxed geometry at the PBE level of DFT.

Cell: 5.8514 5.8514 5.8514 Å, 60.00 60.00 60.00°
Last column: nearest neighbours and their distance in Å.
Atoms (fractional coordinates):
Ac1 0.2500 0.2500 0.2500  4 Tb 3.58, 4 Gd 3.58
Gd1 0.0000 0.0000 0.0000  4 Ac 3.58, 4 Ce 3.58
Tb1 0.5000 0.5000 0.5000  4 Ac 3.58, 4 Ce 3.58
Ce1 0.7500 0.7500 0.7500  4 Gd 3.58, 4 Tb 3.58

Values from the calculation:
**E_tot**: -6.99 eV/atom
**N(E_F)**: 12.2 states/eV/cell
**Space group**: F-43m (216)
**DFT formation energy**: 197 meV per atom
**Total magnetic moment**: 2.14 μB/atom
**Calculated volume**: 35.42 Å³/atom

---

No. 2
Computed, not measured: crystalline Bi2S2Br at its relaxed geometry at the PBE level of DFT.

Cell: 4.3186 4.3186 11.0023 Å, 76.15 76.15 56.53°
Last column: nearest neighbours and their distance in Å.
Atoms (fractional coordinates):
Bi1 0.6047 0.1047 0.2121  3 S 2.68-2.84
Bi2 0.3953 0.8953 0.7879  3 S 2.68-2.84
S1 0.2226 0.7226 0.3269  3 Bi 2.68-2.84
S2 0.7774 0.2774 0.6731  3 Bi 2.68-2.84
Br1 0.0000 0.5000 0.0000  6 Bi 3.27-3.36

Values from the calculation:
**E_tot**: -3.82 eV/atom
**Relative energy among the computed polymorphs**: 59 meV per atom
**N(E_F)**: 1.9 states/eV/cell
**Space group**: C2/m (12)
**Formation energy from raw total energies**: -0.281 eV per atom
**Total magnetic moment**: 0.00 μB/atom
**Calculated volume**: 32.94 Å³/atom

---

No. 3
Computed, not measured: crystalline Er3MgHg at its relaxed geometry at the PBE level of DFT.

Cell: 5.0947 5.0919 10.6447 Å, 90.00 76.15 90.00°
Last column: nearest neighbours and their distance in Å.
Atoms (fractional coordinates):
Er1 0.7628 0.2500 0.1226  2 Mg 3.18, 2 Hg 3.26, 2 Er 3.52
Er2 0.3806 0.2500 0.8871  2 Mg 3.24, 2 Hg 3.33, 8 Er 3.45-3.60
Er3 0.5733 0.2500 0.5018  4 Hg 3.14-3.16, 4 Mg 3.22-3.25
Er4 0.2677 0.7500 0.1129  2 Mg 3.24, 2 Hg 3.33, 8 Er 3.45-3.60
Er5 0.8855 0.7500 0.8774  2 Mg 3.18, 2 Hg 3.26, 2 Er 3.52
Er6 0.0751 0.7500 0.4982  4 Hg 3.14-3.16, 4 Mg 3.22-3.25
Mg1 0.4776 0.7500 0.6931  8 Er 3.18-3.25
Mg2 0.1707 0.2500 0.3069  8 Er 3.18-3.25
Hg1 0.6640 0.7500 0.3203  8 Er 3.14-3.33
Hg2 0.9843 0.2500 0.6797  8 Er 3.14-3.33

Values from the calculation:
**E_tot**: -3.32 eV/atom
**N(E_F)**: 11.1 states/eV/cell
**Space group**: Cmcm (63)
**DFT formation energy**: -201 meV per atom
**Total magnetic moment**: 0.00 μB/atom
**Calculated volume**: 26.81 Å³/atom

---

No. 4
Computed, not measured: crystalline Ta2MoSe at its relaxed geometry at the PBE level of DFT.

Cell: 6.6104 4.6784 3.2141 Å, 89.52 61.69 122.93°
Last column: nearest neighbours and their distance in Å.
Atoms (fractional coordinates):
Mo1 0.0000 0.5000 0.5000  8 Ta 2.83-2.85, 2 Se 2.91
Se1 0.5000 0.5000 0.0000  8 Ta 2.83-2.85, 2 Mo 2.91
Ta1 0.0000 0.0000 0.0000  4 Mo 2.83-2.85, 4 Se 2.83-2.85, 2 Ta 2.91
Ta2 0.5000 0.0000 0.5000  4 Se 2.83-2.85, 4 Mo 2.83-2.85, 2 Ta 2.91

Values from the calculation:
**E_tot**: -9.42 eV/atom
**N(E_F)**: 2.7 states/eV/cell
**Space group**: C2/m (12)
**Formation energy from raw total energies**: 0.084 eV per atom
**Total magnetic moment**: 0.00 μB/atom
**Calculated volume**: 17.13 Å³/atom

---

No. 5
Computed, not measured: crystalline Tb2Pr3Hg2 at its relaxed geometry at the PBE level of DFT.

Cell: 4.9523 3.5762 12.1133 Å, 90.00 78.20 90.00°
Last column: nearest neighbours and their distance in Å.
Atoms (fractional coordinates):
Tb1 0.7092 0.5000 0.5816  2 Tb 3.14, 1 Hg 3.28, 4 Pr 3.45
Tb2 0.2908 0.5000 0.4184  2 Tb 3.14, 1 Hg 3.28, 4 Pr 3.45
Pr1 0.8584 0.0000 0.2832  3 Pr 3.36-3.58, 4 Tb 3.45, 4 Hg 3.48
Pr2 0.0000 0.0000 0.0000  4 Pr 3.36-3.58, 8 Hg 3.49
Pr3 0.1416 0.0000 0.7168  3 Pr 3.36-3.58, 4 Tb 3.45, 4 Hg 3.48
Hg1 0.5711 0.5000 0.8578  1 Tb 3.28, 3 Hg 3.37-3.58, 8 Pr 3.48-3.49
Hg2 0.4289 0.5000 0.1422  1 Tb 3.28, 3 Hg 3.37-3.58, 8 Pr 3.48-3.49

Values from the calculation:
**E_tot**: -3.58 eV/atom
**Relative energy among the computed polymorphs**: 112 meV per atom
**N(E_F)**: 8.3 states/eV/cell
**Space group**: Cmmm (65)
**DFT formation energy**: -120 meV per atom
**Total magnetic moment**: 0.00 μB/atom
**Calculated volume**: 30.00 Å³/atom

---

No. 6
Computed, not measured: crystalline CuPtNF2 at its relaxed geometry at the PBE level of DFT.

Cell: 3.4681 3.4681 6.3294 Å, 90.00 90.00 90.00°
Last column: nearest neighbours and their distance in Å.
Atoms (fractional coordinates):
N1 0.0000 0.0000 0.5000  4 Pt 2.45
Cu1 0.0000 0.0000 0.0000  4 F 1.73
Pt1 0.5000 0.5000 0.5000  4 N 2.45
F1 0.0000 0.5000 0.0000  2 Cu 1.73
F2 0.5000 0.0000 0.0000  2 Cu 1.73

Values from the calculation:
**E_tot**: -4.12 eV/atom
**Relative energy among the computed polymorphs**: 223 meV per atom
**N(E_F)**: 4.8 states/eV/cell
**Space group**: P4/mmm (123)
**Formation energy from raw total energies**: 0.325 eV per atom
**Total magnetic moment**: 0.21 μB/atom
**Calculated volume**: 15.23 Å³/atom

---

No. 7
Computed, not measured: crystalline PuPaSiPt at its relaxed geometry at the PBE level of DFT.

Cell: 4.9630 4.9630 4.9630 Å, 60.00 60.00 60.00°
Last column: nearest neighbours and their distance in Å.
Atoms (fractional coordinates):
Si1 0.7500 0.7500 0.7500  4 Pu 3.04, 4 Pa 3.04
Pa1 0.5000 0.5000 0.5000  4 Si 3.04, 4 Pt 3.04
Pt1 0.2500 0.2500 0.2500  4 Pa 3.04, 4 Pu 3.04
Pu1 0.0000 0.0000 0.0000  4 Pt 3.04, 4 Si 3.04

Values from the calculation:
**E_tot**: -9.27 eV/atom
**Relative energy among the computed polymorphs**: 238 meV per atom
**N(E_F)**: 9.6 states/eV/cell
**Space group**: F-43m (216)
**Formation energy from raw total energies**: -0.448 eV per atom
**Total magnetic moment**: 1.72 μB/atom
**Calculated volume**: 21.61 Å³/atom

---

No. 8
Computed, not measured: crystalline LiTe2Pt at its relaxed geometry at the PBE level of DFT.

Cell: 3.5316 3.5316 7.5003 Å, 90.00 90.00 90.00°
Last column: nearest neighbours and their distance in Å.
Atoms (fractional coordinates):
Li1 0.0000 0.0000 0.5264  5 Te 2.72-2.82, 4 Pt 2.93
Pt1 0.5000 0.5000 0.7312  5 Te 2.77-2.84, 4 Li 2.93
Te1 0.0000 0.0000 0.8896  1 Li 2.72, 4 Pt 2.77
Te2 0.5000 0.5000 0.3527  4 Li 2.82, 1 Pt 2.84

Values from the calculation:
**E_tot**: -3.91 eV/atom
**N(E_F)**: 2.0 states/eV/cell
**Space group**: P4mm (99)
**Formation energy from raw total energies**: -0.352 eV per atom
**Total magnetic moment**: 0.00 μB/atom
**Calculated volume**: 23.39 Å³/atom

---

No. 9
Computed, not measured: crystalline PmPuNi2As2 at its relaxed geometry at the PBE level of DFT.

Cell: 4.0943 4.0943 7.9043 Å, 90.00 90.00 120.00°
Last column: nearest neighbours and their distance in Å.
Atoms (fractional coordinates):
Pm1 0.0000 0.0000 0.5000  6 As 3.09, 6 Ni 3.14
Pu1 0.0000 0.0000 0.0000  6 Ni 3.02, 6 As 3.08
Ni1 0.3333 0.6667 0.7620  3 As 2.37
Ni2 0.6667 0.3333 0.2380  3 As 2.37
As1 0.3333 0.6667 0.2492  3 Ni 2.37
As2 0.6667 0.3333 0.7508  3 Ni 2.37

Values from the calculation:
**E_tot**: -7.55 eV/atom
**N(E_F)**: 12.2 states/eV/cell
**Space group**: P-3m1 (164)
**DFT formation energy**: -895 meV per atom
**Total magnetic moment**: 0.86 μB/atom
**Calculated volume**: 19.13 Å³/atom

---

No. 10
Computed, not measured: crystalline RbCuBiTe3 at its relaxed geometry at the PBE level of DFT.

Cell: 4.3956 10.4948 10.4451 Å, 112.50 90.00 90.00°
Last column: nearest neighbours and their distance in Å.
Atoms (fractional coordinates):
Rb1 0.2500 0.2074 0.2275  7 Te 3.74-3.81
Rb2 0.7500 0.7926 0.7725  7 Te 3.74-3.81
Cu1 0.2500 0.0763 0.5729  4 Te 2.59-2.67, 2 Cu 2.80
Cu2 0.7500 0.9237 0.4271  4 Te 2.59-2.67, 2 Cu 2.80
Bi1 0.2500 0.6739 0.1459  6 Te 3.07-3.25
Bi2 0.7500 0.3261 0.8541  6 Te 3.07-3.25
Te1 0.7500 0.8929 0.1639  1 Cu 2.64
Te2 0.2500 0.1071 0.8361  1 Cu 2.64
Te3 0.2500 0.8098 0.4825  3 Cu 2.59-2.67
Te4 0.7500 0.1902 0.5175  3 Cu 2.59-2.67
Te5 0.7500 0.4695 0.1714  3 Bi 3.07-3.15
Te6 0.2500 0.5305 0.8286  3 Bi 3.07-3.15

Values from the calculation:
**E_tot**: -3.45 eV/atom
**N(E_F)**: 8.6 states/eV/cell
**Space group**: P2_1/m (11)
**Formation energy from raw total energies**: -0.388 eV per atom
**Total magnetic moment**: 0.00 μB/atom
**Calculated volume**: 37.10 Å³/atom